BePRu2 | meta-GGA SCAN | single point on PBEsol structure

Structure (POSCAR):
```
BePRu2
1.0
2.939 0.000 0.006
0.000 3.770 0.000
-1.310 0.000 4.131
Ru P Be
2 1 1
Direct
0.860 0.000 0.898 Ru
0.639 0.500 0.358 Ru
0.333 0.500 0.793 P
0.168 0.000 0.450 Be
```

The calculation puts the polymorph energy (0 for the lowest one) at 27 meV per atom. The value obtained for the formation energy is -0.5188 eV per atom. For the density of states at the Fermi level, the calculation gives 1.6 states/eV per cell. The value obtained for the final energy is -21.6200 eV per atom.